(1)
## Nb2HgN (PBE-GGA)

Data for an optimized crystal structure of Nb2HgN.

Cell: 5.3448 5.3448 6.7348 Å, 66.62 66.62 90.00°
Closest atoms and distances in Å follow each position.
Element x y z (fractional)
Nb 0.4949 0.1250 0.2500  2 N 2.03
Nb 0.2551 0.6250 0.2500  2 N 2.03
Nb 0.3750 0.5051 0.7500  2 N 2.03
Nb 0.8750 0.7449 0.7500  2 N 2.03
Hg 0.0000 0.0000 0.0000  4 Nb 2.80
Hg 0.7500 0.2500 0.5000  4 Nb 2.80
N 0.5000 0.5000 0.0000  4 Nb 2.03
N 0.2500 0.7500 0.5000  4 Nb 2.03

Values from the calculation:
Spin magnetization in Bohr magnetons per cell: 0.00
E above lowest polymorph in meV/atom: 628
D(E_F) in states/eV/atom: 0.905
ΔE_f (raw) in meV per atom: 143
Space-group type: I-42d, No. 122
Total DFT energy (no corrections) in eV for the cell shown: -56.4



(2)
## Nb2HgN (PBE-GGA)

Data for an optimized crystal structure of Nb2HgN.

Cell: 4.4820 4.4820 4.4820 Å, 60.00 60.00 60.00°
Closest atoms and distances in Å follow each position.
Element x y z (fractional)
Nb 0.2500 0.2500 0.2500  4 Hg 2.74, 4 N 2.74
Nb 0.7500 0.7500 0.7500  4 Hg 2.74, 4 N 2.74
Hg 0.5000 0.5000 0.5000  8 Nb 2.74
N 0.0000 0.0000 0.0000  8 Nb 2.74

Values from the calculation:
Spin magnetization in Bohr magnetons per cell: 0.00
E above lowest polymorph in meV/atom: 1440
D(E_F) in states/eV/atom: 1.410
ΔE_f (raw) in meV per atom: 954
Space-group type: Fm-3m, No. 225
Total DFT energy (no corrections) in eV for the cell shown: -24.9



(3)
## NbHgN2 (PBE-GGA)

Data for an optimized crystal structure of NbHgN2.

Cell: 6.8478 6.8478 6.8478 Å, 28.27 28.27 28.27°
Closest atoms and distances in Å follow each position.
Element x y z (fractional)
Nb 0.0000 0.0000 0.0000  2 N 1.95
Hg 0.5000 0.5000 0.5000  6 N 2.35
N 0.9009 0.9009 0.9009  1 Nb 1.95
N 0.0991 0.0991 0.0991  1 Nb 1.95

Values from the calculation:
Spin magnetization in Bohr magnetons per cell: 0.00
D(E_F) in states/eV/atom: 0.775
ΔE_f (raw) in meV per atom: 1189
Space-group type: R-3m, No. 166
Total DFT energy (no corrections) in eV for the cell shown: -22.3



(4)
## NbHg4N2 (PBE-GGA)

Data for an optimized crystal structure of NbHg4N2.

Cell: 6.1692 6.1692 7.7976 Å, 66.70 66.70 90.00°
Closest atoms and distances in Å follow each position.
Element x y z (fractional)
Nb 0.0000 0.0000 0.0000  6 Hg 2.80-3.08
Hg 0.7833 0.7833 0.4334  1 Nb 2.80, 1 N 3.10
Hg 0.2167 0.2167 0.5666  1 Nb 2.80, 1 N 3.10
Hg 0.0000 0.5000 0.0000  2 Nb 3.08, 4 N 3.13
Hg 0.5000 0.0000 0.0000  2 Nb 3.08, 4 N 3.13
N 0.5432 0.5432 0.9135  1 N 1.12
N 0.4568 0.4568 0.0865  1 N 1.12

Values from the calculation:
Spin magnetization in Bohr magnetons per cell: 4.17
D(E_F) in states/eV/atom: 0.422
ΔE_f (raw) in meV per atom: 672
Space-group type: I4/mmm, No. 139
Total DFT energy (no corrections) in eV for the cell shown: -23.2



(5)
## NbHgN (PBE-GGA)

Data for an optimized crystal structure of NbHgN.

Cell: 3.8057 3.8057 8.8530 Å, 114.85 114.85 89.98°
Closest atoms and distances in Å follow each position.
Element x y z (fractional)
Hg 0.5542 0.5542 0.8072  1 N 2.29
Hg 0.4458 0.4458 0.1928  1 N 2.29
Nb 0.1377 0.1377 0.3870  1 N 1.84
Nb 0.8623 0.8623 0.6130  1 N 1.84
N 0.1264 0.1264 0.8709  1 Nb 1.84
N 0.8736 0.8736 0.1291  1 Nb 1.84

Values from the calculation:
Spin magnetization in Bohr magnetons per cell: 0.06
D(E_F) in states/eV/atom: 0.526
ΔE_f (raw) in meV per atom: 379
Space-group type: C2/m, No. 12
Total DFT energy (no corrections) in eV for the cell shown: -35.1



(6)
## NbHgNO2 (PBE-GGA)

Data for an optimized crystal structure of NbHgNO2.

Cell: 4.0972 4.0972 4.2085 Å, 90.00 90.00 90.00°
Closest atoms and distances in Å follow each position.
Element x y z (fractional)
Nb 0.5000 0.5000 0.5000  4 N 2.90, 8 O 2.94
Hg 0.0000 0.0000 0.0000  4 O 2.05, 2 N 2.10
O 0.0000 0.5000 0.0000  2 Hg 2.05
O 0.5000 0.0000 0.0000  2 Hg 2.05
N 0.0000 0.0000 0.5000  2 Hg 2.10

Values from the calculation:
Spin magnetization in Bohr magnetons per cell: 0.03
D(E_F) in states/eV/atom: 1.362
ΔE_f (raw) in meV per atom: 1148
Space-group type: P4/mmm, No. 123
Total DFT energy (no corrections) in eV for the cell shown: -22.9



(7)
## NbHgNO2 (PBE-GGA)

Data for an optimized crystal structure of NbHgNO2.

Cell: 3.9543 3.9543 4.3605 Å, 90.00 90.00 90.00°
Closest atoms and distances in Å follow each position.
Element x y z (fractional)
Nb 0.0000 0.0000 0.0000  4 O 1.98, 2 N 2.18
Hg 0.5000 0.5000 0.5000  4 N 2.80, 8 O 2.94
O 0.0000 0.5000 0.0000  2 Nb 1.98
O 0.5000 0.0000 0.0000  2 Nb 1.98
N 0.0000 0.0000 0.5000  2 Nb 2.18

Values from the calculation:
Spin magnetization in Bohr magnetons per cell: 0.00
D(E_F) in states/eV/atom: 0.142
ΔE_f (raw) in meV per atom: -877
Space-group type: P4/mmm, No. 123
Total DFT energy (no corrections) in eV for the cell shown: -33.0



(8)
## NbHg2OsN (PBE-GGA)

Data for an optimized crystal structure of NbHg2OsN.

Cell: 4.6359 4.0250 4.6359 Å, 90.00 90.00 90.00°
Closest atoms and distances in Å follow each position.
Element x y z (fractional)
Nb 0.0000 0.5000 0.0000  2 N 2.01
Os 0.5000 0.5000 0.5000  8 Hg 3.07, 4 Nb 3.28
Hg 0.0000 0.0000 0.5000  2 N 2.32
Hg 0.5000 0.0000 0.0000  2 N 2.32
N 0.0000 0.0000 0.0000  2 Nb 2.01

Values from the calculation:
Spin magnetization in Bohr magnetons per cell: 0.00
D(E_F) in states/eV/atom: 0.981
ΔE_f (raw) in meV per atom: 999
Space-group type: P4/mmm, No. 123
Total DFT energy (no corrections) in eV for the cell shown: -25.2



(9)
## NbHgS2N (PBE-GGA)

Data for an optimized crystal structure of NbHgS2N.

Cell: 5.0015 5.0015 3.9160 Å, 90.00 90.00 90.00°
Closest atoms and distances in Å follow each position.
Element x y z (fractional)
S 0.0000 0.5000 0.0000  2 Nb 2.50
S 0.5000 0.0000 0.0000  2 Nb 2.50
Nb 0.0000 0.0000 0.0000  2 N 1.96
Hg 0.5000 0.5000 0.5000  8 S 3.18, 4 N 3.54
N 0.0000 0.0000 0.5000  2 Nb 1.96

Values from the calculation:
Spin magnetization in Bohr magnetons per cell: 0.00
E above lowest polymorph in meV/atom: 0
D(E_F) in states/eV/atom: 0.659
ΔE_f (raw) in meV per atom: 22
Space-group type: P4/mmm, No. 123
Total DFT energy (no corrections) in eV for the cell shown: -26.8



(10)
## NbHgSN2 (PBE-GGA)

Data for an optimized crystal structure of NbHgSN2.

Cell: 4.1286 4.1286 5.0780 Å, 90.00 90.00 90.00°
Closest atoms and distances in Å follow each position.
Element x y z (fractional)
S 0.0000 0.0000 0.5000  2 Hg 2.54
Nb 0.5000 0.5000 0.5000  4 S 2.92
Hg 0.0000 0.0000 0.0000  4 N 2.06
N 0.0000 0.5000 0.0000  2 Hg 2.06
N 0.5000 0.0000 0.0000  2 Hg 2.06

Values from the calculation:
Spin magnetization in Bohr magnetons per cell: 0.50
E above lowest polymorph in meV/atom: 1659
D(E_F) in states/eV/atom: 0.509
ΔE_f (raw) in meV per atom: 1957
Space-group type: P4/mmm, No. 123
Total DFT energy (no corrections) in eV for the cell shown: -21.4



(11)
## NbHgS2N (PBE-GGA)

Data for an optimized crystal structure of NbHgS2N.

Cell: 5.1315 5.1315 3.9705 Å, 90.00 90.00 90.00°
Closest atoms and distances in Å follow each position.
Element x y z (fractional)
S 0.0000 0.5000 0.0000  2 Hg 2.57
S 0.5000 0.0000 0.0000  2 Hg 2.57
Nb 0.5000 0.5000 0.5000  8 S 3.24, 4 N 3.63
Hg 0.0000 0.0000 0.0000  2 N 1.99
N 0.0000 0.0000 0.5000  2 Hg 1.99

Values from the calculation:
Spin magnetization in Bohr magnetons per cell: 4.30
E above lowest polymorph in meV/atom: 1487
D(E_F) in states/eV/atom: 0.916
ΔE_f (raw) in meV per atom: 1508
Space-group type: P4/mmm, No. 123
Total DFT energy (no corrections) in eV for the cell shown: -19.4



(12)
## NbHgSN2 (PBE-GGA)

Data for an optimized crystal structure of NbHgSN2.

Cell: 4.0030 4.0030 5.3920 Å, 90.00 90.00 90.00°
Closest atoms and distances in Å follow each position.
Element x y z (fractional)
S 0.0000 0.0000 0.5000  2 Nb 2.70, 4 Hg 2.83
Nb 0.0000 0.0000 0.0000  4 N 2.00
Hg 0.5000 0.5000 0.5000  4 S 2.83
N 0.0000 0.5000 0.0000  2 Nb 2.00
N 0.5000 0.0000 0.0000  2 Nb 2.00

Values from the calculation:
Spin magnetization in Bohr magnetons per cell: 0.71
E above lowest polymorph in meV/atom: 0
D(E_F) in states/eV/atom: 0.222
ΔE_f (raw) in meV per atom: 298
Space-group type: P4/mmm, No. 123
Total DFT energy (no corrections) in eV for the cell shown: -29.7



(13)
## NbHg2SbN (PBE-GGA)

Data for an optimized crystal structure of NbHg2SbN.

Cell: 5.0302 4.0899 5.0302 Å, 90.00 90.00 90.00°
Closest atoms and distances in Å follow each position.
Element x y z (fractional)
Sb 0.5000 0.5000 0.5000  8 Hg 3.24, 4 Nb 3.56
Nb 0.0000 0.5000 0.0000  2 N 2.04
Hg 0.0000 0.0000 0.5000  2 N 2.52
Hg 0.5000 0.0000 0.0000  2 N 2.52
N 0.0000 0.0000 0.0000  2 Nb 2.04

Values from the calculation:
Spin magnetization in Bohr magnetons per cell: 0.00
D(E_F) in states/eV/atom: 0.857
ΔE_f (raw) in meV per atom: 502
Space-group type: P4/mmm, No. 123
Total DFT energy (no corrections) in eV for the cell shown: -20.6



(14)
## Sc2NbHgN (PBE-GGA)

Data for an optimized crystal structure of Sc2NbHgN.

Cell: 4.4622 4.4622 4.2752 Å, 90.00 90.00 90.00°
Closest atoms and distances in Å follow each position.
Element x y z (fractional)
Sc 0.0000 0.5000 0.0000  2 N 2.23
Sc 0.5000 0.0000 0.0000  2 N 2.23
Nb 0.0000 0.0000 0.5000  2 N 2.14
Hg 0.5000 0.5000 0.5000  8 Sc 3.09, 4 Nb 3.16
N 0.0000 0.0000 0.0000  2 Nb 2.14, 4 Sc 2.23

Values from the calculation:
Spin magnetization in Bohr magnetons per cell: 0.25
D(E_F) in states/eV/atom: 0.722
ΔE_f (raw) in meV per atom: -835
Space-group type: P4/mmm, No. 123
Total DFT energy (no corrections) in eV for the cell shown: -35.5



(15)
## NbHgSeN2 (PBE-GGA)

Data for an optimized crystal structure of NbHgSeN2.

Cell: 4.0829 4.0829 5.3252 Å, 90.00 90.00 90.00°
Closest atoms and distances in Å follow each position.
Element x y z (fractional)
Nb 0.5000 0.5000 0.5000  4 Se 2.89
Hg 0.0000 0.0000 0.0000  4 N 2.04
Se 0.0000 0.0000 0.5000  2 Hg 2.66, 4 Nb 2.89
N 0.0000 0.5000 0.0000  2 Hg 2.04
N 0.5000 0.0000 0.0000  2 Hg 2.04

Values from the calculation:
Spin magnetization in Bohr magnetons per cell: 0.01
E above lowest polymorph in meV/atom: 1778
D(E_F) in states/eV/atom: 0.936
ΔE_f (raw) in meV per atom: 2062
Space-group type: P4/mmm, No. 123
Total DFT energy (no corrections) in eV for the cell shown: -20.2



(16)
## NbHgSeN2 (PBE-GGA)

Data for an optimized crystal structure of NbHgSeN2.

Cell: 4.0336 4.0336 5.6481 Å, 90.00 90.00 90.00°
Closest atoms and distances in Å follow each position.
Element x y z (fractional)
Nb 0.0000 0.0000 0.0000  4 N 2.02
Hg 0.5000 0.5000 0.5000  4 Se 2.85
Se 0.0000 0.0000 0.5000  2 Nb 2.82, 4 Hg 2.85
N 0.0000 0.5000 0.0000  2 Nb 2.02
N 0.5000 0.0000 0.0000  2 Nb 2.02

Values from the calculation:
Spin magnetization in Bohr magnetons per cell: 0.66
E above lowest polymorph in meV/atom: 0
D(E_F) in states/eV/atom: 0.478
ΔE_f (raw) in meV per atom: 283
Space-group type: P4/mmm, No. 123
Total DFT energy (no corrections) in eV for the cell shown: -29.1



(17)
## TiNb2HgN (PBE-GGA)

Data for an optimized crystal structure of TiNb2HgN.

Cell: 4.3648 4.3648 4.0931 Å, 90.00 90.00 90.00°
Closest atoms and distances in Å follow each position.
Element x y z (fractional)
Nb 0.0000 0.5000 0.0000  2 N 2.18
Nb 0.5000 0.0000 0.0000  2 N 2.18
N 0.0000 0.0000 0.0000  2 Ti 2.05, 4 Nb 2.18
Hg 0.5000 0.5000 0.5000  8 Nb 2.99, 4 Ti 3.09
Ti 0.0000 0.0000 0.5000  2 N 2.05

Values from the calculation:
Spin magnetization in Bohr magnetons per cell: 0.00
D(E_F) in states/eV/atom: 0.921
ΔE_f (raw) in meV per atom: -520
Space-group type: P4/mmm, No. 123
Total DFT energy (no corrections) in eV for the cell shown: -39.3



(18)
## TiNbHg2N (PBE-GGA)

Data for an optimized crystal structure of TiNbHg2N.

Cell: 4.7347 4.0913 4.7347 Å, 90.00 90.00 90.00°
Closest atoms and distances in Å follow each position.
Element x y z (fractional)
Nb 0.0000 0.5000 0.0000  2 N 2.05
N 0.0000 0.0000 0.0000  2 Nb 2.05
Hg 0.0000 0.0000 0.5000  2 N 2.37
Hg 0.5000 0.0000 0.0000  2 N 2.37
Ti 0.5000 0.5000 0.5000  8 Hg 3.13, 4 Nb 3.35

Values from the calculation:
Spin magnetization in Bohr magnetons per cell: 0.00
D(E_F) in states/eV/atom: 1.451
ΔE_f (raw) in meV per atom: 585
Space-group type: P4/mmm, No. 123
Total DFT energy (no corrections) in eV for the cell shown: -24.0



(19)
## NbTl2HgN (PBE-GGA)

Data for an optimized crystal structure of NbTl2HgN.

Cell: 5.5329 5.3639 5.5329 Å, 90.00 90.00 90.00°
Closest atoms and distances in Å follow each position.
Element x y z (fractional)
Tl 0.0000 0.0000 0.5000  2 Nb 2.77
Tl 0.5000 0.0000 0.0000  2 Nb 2.77
Hg 0.0000 0.5000 0.0000  2 Nb 2.68
Nb 0.0000 0.0000 0.0000  2 Hg 2.68, 4 Tl 2.77
N 0.5000 0.5000 0.5000  8 Tl 3.85, 4 Hg 3.91

Values from the calculation:
Spin magnetization in Bohr magnetons per cell: 0.72
D(E_F) in states/eV/atom: 2.301
ΔE_f (raw) in meV per atom: 1874
Space-group type: P4/mmm, No. 123
Total DFT energy (no corrections) in eV for the cell shown: -14.1



(20)
## Y2NbHgN (PBE-GGA)

Data for an optimized crystal structure of Y2NbHgN.

Cell: 5.6771 4.0115 5.6771 Å, 90.00 90.00 90.00°
Closest atoms and distances in Å follow each position.
Element x y z (fractional)
Y 0.0000 0.0000 0.5000  2 Nb 2.84
Y 0.5000 0.0000 0.0000  2 Nb 2.84
Nb 0.0000 0.0000 0.0000  2 N 2.01
Hg 0.5000 0.5000 0.5000  8 Y 3.48
N 0.0000 0.5000 0.0000  2 Nb 2.01

Values from the calculation:
Spin magnetization in Bohr magnetons per cell: 0.00
E above lowest polymorph in meV/atom: 1037
D(E_F) in states/eV/atom: 1.126
ΔE_f (raw) in meV per atom: 315
Space-group type: P4/mmm, No. 123
Total DFT energy (no corrections) in eV for the cell shown: -30.0